Entry 1:
First-principles (PBE) data for an optimized crystal structure of MnNb2Br8, as listed in the Alexandria database.

Lattice parameters (Å, degrees): 7.489 7.489 7.519 91.82 91.82 68.21
Fractional coordinates of all 11 atoms:
Mn (0.000, 0.000, 0.000)
Nb (0.090, 0.090, 0.636)
Nb (0.910, 0.910, 0.364)
Br (0.129, 0.129, 0.299)
Br (0.157, 0.665, 0.175)
Br (0.296, 0.296, 0.657)
Br (0.335, 0.843, 0.825)
Br (0.665, 0.157, 0.175)
Br (0.704, 0.704, 0.343)
Br (0.843, 0.335, 0.825)
Br (0.871, 0.871, 0.701)

Properties
ρ in g/cm³: 3.73
Formation energy without anion corrections in eV/atom: -0.65
Final energy in eV/atom: -4.532
Magnetization in Bohr magnetons per cell: 5.0

Entry 2:
First-principles (PBE) data for an optimized crystal structure of K5Pt4, as listed in the Alexandria database.

Lattice parameters (Å, degrees): 11.086 11.086 5.219 90.00 90.00 120.00
Fractional coordinates of all 18 atoms:
K (0.000, 0.259, 0.250)
K (0.000, 0.741, 0.750)
K (0.259, 0.000, 0.250)
K (0.259, 0.259, 0.750)
K (0.333, 0.667, 0.000)
K (0.333, 0.667, 0.500)
K (0.667, 0.333, 0.000)
K (0.667, 0.333, 0.500)
K (0.741, 0.000, 0.750)
K (0.741, 0.741, 0.250)
Pt (0.000, 0.000, 0.000)
Pt (0.000, 0.000, 0.500)
Pt (0.000, 0.471, 0.750)
Pt (0.000, 0.529, 0.250)
Pt (0.471, 0.000, 0.750)
Pt (0.471, 0.471, 0.250)
Pt (0.529, 0.000, 0.250)
Pt (0.529, 0.529, 0.750)

Properties
Energy above the most stable polymorph in this dataset in meV per atom: 0
ρ in g/cm³: 5.83
Formation energy from the elements in eV/atom: 0.08
Final energy in eV/atom: -3.211
Magnetization in Bohr magnetons per cell: 0.0

Entry 3:
First-principles (PBE) data for an optimized crystal structure of NbGa6, as listed in the Alexandria database.

Lattice parameters (Å, degrees): 6.057 6.057 6.057 109.47 109.47 109.47
Fractional coordinates of all 7 atoms:
Nb (0.000, 0.000, 0.000)
Ga (0.250, 0.500, 0.750)
Ga (0.250, 0.750, 0.500)
Ga (0.500, 0.250, 0.750)
Ga (0.500, 0.750, 0.250)
Ga (0.750, 0.250, 0.500)
Ga (0.750, 0.500, 0.250)

Properties
ρ in g/cm³: 4.96
Formation energy from the elements in eV/atom: 0.79
Final energy in eV/atom: -3.245
Magnetization in Bohr magnetons per cell: 2.9

Entry 4:
First-principles (PBE) data for an optimized crystal structure of Dy5Y2Ho, as listed in the Alexandria database.

Lattice parameters (Å, degrees): 6.145 9.373 9.381 81.79 83.80 71.07
Fractional coordinates of all 16 atoms:
Dy (0.249, 0.219, 0.343)
Dy (0.249, 0.969, 0.094)
Dy (0.250, 0.470, 0.593)
Dy (0.250, 0.843, 0.469)
Dy (0.251, 0.594, 0.220)
Dy (0.749, 0.406, 0.780)
Dy (0.750, 0.157, 0.531)
Dy (0.750, 0.530, 0.407)
Dy (0.751, 0.031, 0.906)
Dy (0.751, 0.781, 0.657)
Y (0.251, 0.093, 0.718)
Y (0.251, 0.344, 0.969)
Y (0.749, 0.656, 0.031)
Y (0.749, 0.907, 0.282)
Ho (0.250, 0.719, 0.843)
Ho (0.750, 0.281, 0.157)

Properties
ρ in g/cm³: 7.60
Formation energy from the elements in eV/atom: 0.02
Final energy in eV/atom: -5.045
Magnetization in Bohr magnetons per cell: 0.0

Entry 5:
First-principles (PBE) data for an optimized crystal structure of Cu2Hg3, as listed in the Alexandria database.

Lattice parameters (Å, degrees): 4.571 4.571 5.464 90.00 90.00 120.00
Fractional coordinates of all 5 atoms:
Cu (0.333, 0.667, 0.372)
Cu (0.667, 0.333, 0.628)
Hg (0.000, 0.000, 0.500)
Hg (0.333, 0.667, 0.867)
Hg (0.667, 0.333, 0.133)

Properties
Energy above the most stable polymorph in this dataset in meV per atom: 0
ρ in g/cm³: 12.24
Formation energy from the elements in eV/atom: 0.15
Final energy in eV/atom: -1.667
Magnetization in Bohr magnetons per cell: 0.0

Entry 6:
First-principles (PBE) data for an optimized crystal structure of SiRh2Cl, as listed in the Alexandria database.

Lattice parameters (Å, degrees): 6.827 6.827 6.827 154.49 151.70 38.47
Fractional coordinates of all 4 atoms:
Si (0.000, 0.000, 0.000)
Rh (0.424, 0.424, 0.000)
Rh (0.619, 0.119, 0.500)
Cl (0.255, 0.755, 0.500)

Properties
Energy above the most stable polymorph in this dataset in meV per atom: 163
ρ in g/cm³: 6.90
Formation energy without anion corrections in eV/atom: -0.28
Final energy in eV/atom: -5.774
Magnetization in Bohr magnetons per cell: 0.0